[1]
Compound: TaAg3Bi
Source: Alexandria via LeMat-Bulk
Functional: PBE
Structure: optimized geometry

Computed properties:
Space group: Pm-3m, No. 221
DFT total energy (eV/cell): -15.83
Theoretical density (g/cm³): 8.6

Cell lengths 5.1746, 5.1746, 5.1746 Å; angles 90.00, 90.00, 90.00 degrees
Sites, in units of the cell vectors:
Bi (0.0000, 0.0000, 0.0000)
Ag (0.0000, 0.0000, 0.5000)
Ag (0.0000, 0.5000, 0.0000)
Ag (0.5000, 0.0000, 0.0000)
Ta (0.5000, 0.5000, 0.5000)

***

[2]
Compound: ScCdTe4
Source: Alexandria via LeMat-Bulk
Functional: PBE
Structure: optimized geometry

Computed properties:
Space group: F-43m, No. 216
DFT total energy (eV/cell): -18.31
Formation energy from raw total energies (eV per formula unit): 1.5
Theoretical density (g/cm³): 6.1

Cell lengths 6.3453, 6.3453, 6.3453 Å; angles 60.00, 60.00, 60.00 degrees
Site moments in Bohr magnetons follow the coordinates.
Sites, in units of the cell vectors:
Sc (0.0000, 0.0000, 0.0000)  0.23
Te (0.3746, 0.3746, 0.8762)  -0.01
Te (0.3746, 0.3746, 0.3746)  -0.01
Te (0.3746, 0.8762, 0.3746)  -0.01
Te (0.8762, 0.3746, 0.3746)  -0.01
Cd (0.7500, 0.7500, 0.7500)  -0.01